No. 1
Below is a relaxed structure of Rb2BeTeCl6, with properties calculated at the PBE-GGA level.

Output
- Raw formation energy: -1117.6 meV/atom

Cell lengths 7.4750, 7.4750, 10.7735 Å; angles 90.00, 90.00, 90.00 degrees
Space group I4/mmm (No. 139)
Unique sites:
1 Rb 0.0000 0.5000 0.2500
2 Be 0.0000 0.0000 0.0000
3 Te 0.0000 0.0000 0.5000
4 Cl 0.0000 0.0000 0.2645
5 Cl 0.2052 0.2052 0.0000

No. 2
Below is a relaxed structure of Ac3NdCd8, with properties calculated at the PBE-GGA level.

Output
- Formation enthalpy at 0 K: -0.300 eV/atom

Cell lengths 6.1819, 6.1819, 30.1729 Å; angles 90.00, 90.00, 120.00 degrees
Space group R3m (No. 160, hexagonal axes)
Unique sites:
1 Ac 0.0000 0.0000 0.0000
2 Ac 0.0000 0.0000 0.1254
3 Ac 0.0000 0.0000 0.6236
4 Nd 0.0000 0.0000 0.4995
5 Cd 0.0000 0.0000 0.3121
6 Cd 0.0000 0.0000 0.8126
7 Cd 0.9999 0.4999 0.5609
8 Cd 0.0024 0.5012 0.0634

No. 3
Below is a relaxed structure of OsPtW3, with properties calculated at the PBE-GGA level.

Output
- ΔE to the lowest computed polymorph: 2.89 eV/f.u.
- Formation enthalpy at 0 K: 2.493 eV/atom

Cell lengths 4.6926, 4.6926, 4.6926 Å; angles 90.00, 90.00, 90.00 degrees
Space group Pm-3m (No. 221)
Unique sites:
1 Os 0.0000 0.0000 0.0000
2 Pt 0.5000 0.5000 0.5000
3 W 0.0000 0.5000 0.5000

No. 4
Below is a relaxed structure of SrY3S, with properties calculated at the PBE-GGA level.

Output
- Raw formation energy: 1250.6 meV/atom
- ΔE to the lowest computed polymorph: 9.25 eV/f.u.

Cell lengths 5.6279, 5.6279, 5.6279 Å; angles 90.00, 90.00, 90.00 degrees
Space group Pm-3m (No. 221)
Unique sites:
1 Sr 0.0000 0.0000 0.0000
2 Y 0.0000 0.0000 0.5000
3 S 0.5000 0.5000 0.5000